1.
# TlAg2HgAs PBE relaxed
data_TlAg2HgAs
_chemical_formula_sum 'Tl1 Ag2 Hg1 As1'
_space_group_name_H-M_alt 'P 1'
_space_group_IT_number 1
_cell_length_a 4.933
_cell_length_b 4.933
_cell_length_c 6.122
_cell_angle_alpha 90.00
_cell_angle_beta 90.00
_cell_angle_gamma 90.00
loop_
_space_group_symop_operation_xyz
'x,y,z'
loop_
_atom_site_label
_atom_site_type_symbol
_atom_site_fract_x
_atom_site_fract_y
_atom_site_fract_z
As1 As 0.000 0.000 0.000
Tl1 Tl 0.000 0.000 0.500
Hg1 Hg 0.500 0.500 0.500
Ag1 Ag 0.000 0.500 0.000
Ag2 Ag 0.500 0.000 0.000
# Fermi-level density of states, states/eV per atom: 0.307
# Calculated formation energy, eV per atom: 0.19


2.
# RbBa2La PBE relaxed
data_RbBa2La
_chemical_formula_sum 'Rb1 Ba2 La1'
_space_group_name_H-M_alt 'P 1'
_space_group_IT_number 1
_cell_length_a 6.863
_cell_length_b 6.863
_cell_length_c 6.863
_cell_angle_alpha 60.00
_cell_angle_beta 60.00
_cell_angle_gamma 60.00
loop_
_space_group_symop_operation_xyz
'x,y,z'
loop_
_atom_site_label
_atom_site_type_symbol
_atom_site_fract_x
_atom_site_fract_y
_atom_site_fract_z
Ba1 Ba 0.250 0.250 0.250
Ba2 Ba 0.750 0.750 0.750
Rb1 Rb 0.000 0.000 0.000
La1 La 0.500 0.500 0.500
# Fermi-level density of states, states/eV per atom: 1.655
# Calculated formation energy, eV per atom: 0.35


3.
# Mg2AlAs PBE relaxed
data_Mg2AlAs
_chemical_formula_sum 'Mg2 Al1 As1'
_space_group_name_H-M_alt 'P 1'
_space_group_IT_number 1
_cell_length_a 5.433
_cell_length_b 5.433
_cell_length_c 4.835
_cell_angle_alpha 71.87
_cell_angle_beta 71.87
_cell_angle_gamma 36.27
loop_
_space_group_symop_operation_xyz
'x,y,z'
loop_
_atom_site_label
_atom_site_type_symbol
_atom_site_fract_x
_atom_site_fract_y
_atom_site_fract_z
Al1 Al 0.529 0.529 0.526
As1 As 0.227 0.227 0.208
Mg1 Mg 0.979 0.979 0.056
Mg2 Mg 0.766 0.766 0.710
# Fermi-level density of states, states/eV per atom: 0.361
# Calculated formation energy, eV per atom: -0.12


4.
# Pm4Pr2Dy3 PBE relaxed
data_Pm4Pr2Dy3
_chemical_formula_sum 'Pm4 Pr2 Dy3'
_space_group_name_H-M_alt 'P 1'
_space_group_IT_number 1
_cell_length_a 3.564
_cell_length_b 8.762
_cell_length_c 10.151
_cell_angle_alpha 98.99
_cell_angle_beta 100.11
_cell_angle_gamma 90.00
loop_
_space_group_symop_operation_xyz
'x,y,z'
loop_
_atom_site_label
_atom_site_type_symbol
_atom_site_fract_x
_atom_site_fract_y
_atom_site_fract_z
Pm1 Pm 0.548 0.685 0.097
Pm2 Pm 0.280 0.351 0.560
Pm3 Pm 0.452 0.315 0.903
Pm4 Pm 0.720 0.649 0.440
Pr1 Pr 0.667 0.043 0.333
Pr2 Pr 0.333 0.957 0.667
Dy1 Dy 0.106 0.362 0.212
Dy2 Dy 0.894 0.638 0.788
Dy3 Dy 0.000 0.000 0.000
# Fermi-level density of states, states/eV per atom: 1.562
# Calculated formation energy, eV per atom: 0.08


5.
# CaCoP2 PBE relaxed
data_CaCoP2
_chemical_formula_sum 'Ca1 Co1 P2'
_space_group_name_H-M_alt 'P 1'
_space_group_IT_number 1
_cell_length_a 4.163
_cell_length_b 4.166
_cell_length_c 3.736
_cell_angle_alpha 90.00
_cell_angle_beta 90.00
_cell_angle_gamma 90.00
loop_
_space_group_symop_operation_xyz
'x,y,z'
loop_
_atom_site_label
_atom_site_type_symbol
_atom_site_fract_x
_atom_site_fract_y
_atom_site_fract_z
Ca1 Ca 0.500 0.000 0.500
Co1 Co 0.000 0.500 0.500
P1 P 0.000 0.000 0.000
P2 P 0.500 0.500 0.000
# Fermi-level density of states, states/eV per atom: 1.067
# Calculated formation energy, eV per atom: 0.00


6.
# Na9SmSi4Se12 PBE relaxed
data_Na9SmSi4Se12
_chemical_formula_sum 'Na9 Sm1 Si4 Se12'
_space_group_name_H-M_alt 'P 1'
_space_group_IT_number 1
_cell_length_a 9.861
_cell_length_b 9.861
_cell_length_c 7.081
_cell_angle_alpha 83.29
_cell_angle_beta 83.29
_cell_angle_gamma 76.73
loop_
_space_group_symop_operation_xyz
'x,y,z'
loop_
_atom_site_label
_atom_site_type_symbol
_atom_site_fract_x
_atom_site_fract_y
_atom_site_fract_z
Na1 Na 0.505 0.000 0.243
Na2 Na 0.000 0.495 0.757
Na3 Na 0.171 0.330 0.250
Na4 Na 0.670 0.829 0.750
Na5 Na 0.824 0.669 0.250
Na6 Na 0.331 0.176 0.750
Na7 Na 0.585 0.415 0.000
Na8 Na 0.428 0.572 0.500
Na9 Na 0.905 0.095 0.000
Sm1 Sm 0.083 0.917 0.500
Si1 Si 0.824 0.330 0.468
Si2 Si 0.328 0.824 0.979
Si3 Si 0.670 0.176 0.532
Si4 Si 0.176 0.672 0.021
Se1 Se 0.028 0.208 0.606
Se2 Se 0.530 0.720 0.109
Se3 Se 0.725 0.527 0.617
Se4 Se 0.212 0.022 0.127
Se5 Se 0.473 0.275 0.383
Se6 Se 0.978 0.788 0.873
Se7 Se 0.792 0.972 0.394
Se8 Se 0.280 0.470 0.891
Se9 Se 0.873 0.375 0.148
Se10 Se 0.360 0.877 0.651
Se11 Se 0.625 0.127 0.852
Se12 Se 0.123 0.640 0.349
# Fermi-level density of states, states/eV per atom: 0.000
# Formation energy from raw total energies, meV/atom: -1020